Compound: SiOsSe2Br
Source: Alexandria
Functional: GGA-PBE
Structure: optimized geometry

```
SiOsSe2Br
1.0
4.8335 0.0000 0.0000
0.0000 4.8335 0.0000
0.0000 0.0000 5.1479
Si Os Se Br
1 1 2 1
Direct
0.0000 0.0000 0.0000
0.5000 0.5000 0.5000
0.0000 0.5000 0.5000
0.5000 0.0000 0.5000
0.5000 0.5000 0.0000
```

Calculated values
- M_tot (μB per formula unit) = 0.0
- uncorrected formation energy (kJ/mol of atoms) = 80.0
- space-group type = No. 123
- excess energy over the best structure of this formula in the dataset (meV/atom) = 0.0
- N(E_F) (states/eV/cell) = 6.4